Entry 1:
Computed, not measured: a relaxed Tl2NiTe crystal at the PBE-GGA level of DFT.

Lattice parameters (Å, degrees): 5.2125 5.2125 5.2125 119.75 119.75 90.43
Sites, in units of the cell vectors:
Tl 0.0000 0.0000 0.0000
Tl 0.7500 0.2500 0.5000
Ni 0.2500 0.7500 0.5000
Te 0.5000 0.5000 0.0000

Summary:
**SG**: I-4m2, No. 119
**Relative energy among the computed polymorphs**: 0.410 eV/atom
**Energy relative to the elements, uncorrected**: 1.31 eV/f.u.
**Electronic total energy**: -12.35 eV for the cell shown

Entry 2:
Computed, not measured: a relaxed Pa2Sn4S9 crystal at the PBE-GGA level of DFT.

Lattice parameters (Å, degrees): 7.1508 7.1508 18.5575 90.00 90.00 59.99
Sites, in units of the cell vectors:
Pa 0.0002 0.9997 0.1500
Pa 0.0003 0.9998 0.3500
Pa 0.9997 0.0002 0.6500
Pa 0.9998 0.0003 0.8500
Sn 0.3335 0.3334 0.0191
Sn 0.3334 0.3335 0.5191
Sn 0.3328 0.3337 0.8182
Sn 0.3337 0.3328 0.3182
Sn 0.6663 0.6672 0.6818
Sn 0.6672 0.6663 0.1818
Sn 0.6666 0.6665 0.4809
Sn 0.6665 0.6666 0.9809
S 0.0005 0.7249 0.2499
S 0.0395 0.6527 0.9138
S 0.0399 0.3078 0.4138
S 0.2747 0.7253 0.7500
S 0.2751 0.9995 0.2501
S 0.3078 0.0399 0.9138
S 0.3082 0.6520 0.4137
S 0.3473 0.9605 0.5862
S 0.3480 0.6918 0.0863
S 0.6520 0.3082 0.9137
S 0.6527 0.0395 0.4138
S 0.6918 0.3480 0.5863
S 0.6922 0.9601 0.0862
S 0.7249 0.0005 0.7499
S 0.7253 0.2747 0.2500
S 0.9601 0.6922 0.5862
S 0.9605 0.3473 0.0862
S 0.9995 0.2751 0.7501

Summary:
**SG**: C2/c, No. 15
**Energy relative to the elements, uncorrected**: -13.79 eV/f.u.
**Electronic total energy**: -171.88 eV for the cell shown

Entry 3:
Computed, not measured: a relaxed KTl2OsO6 crystal at the PBE-GGA level of DFT.

Lattice parameters (Å, degrees): 6.2464 6.2464 6.8260 90.00 90.00 120.00
Sites, in units of the cell vectors:
K 0.0000 0.0000 0.0000
Tl 0.3333 0.6667 0.4975
Tl 0.6667 0.3333 0.5025
Os 0.0000 0.0000 0.5000
O 0.1419 0.2838 0.3388
O 0.1419 0.8581 0.3388
O 0.2838 0.1419 0.6612
O 0.7162 0.8581 0.3388
O 0.8581 0.1419 0.6612
O 0.8581 0.7162 0.6612

Summary:
**SG**: P-3m1, No. 164
**Energy relative to the elements, uncorrected**: -9.09 eV/f.u.
**Electronic total energy**: -55.90 eV for the cell shown

Entry 4:
Computed, not measured: a relaxed ZnNiOs2 crystal at the PBE-GGA level of DFT.

Lattice parameters (Å, degrees): 2.7373 3.7480 5.2964 90.00 90.00 90.00
Sites, in units of the cell vectors:
Zn 0.0000 0.0000 0.0000
Ni 0.5000 0.5000 0.2127
Os 0.0000 0.0000 0.4923
Os 0.5000 0.5000 0.7089

Summary:
**SG**: Pmm2, No. 25
**E_form**: 95 meV/atom
**Electronic total energy**: -29.14 eV for the cell shown

- Which value of electronic total energy does entry 4 give?
  -29.14 eV for the cell shown

- Among the records above, which one has the highest electronic total energy?
  Tl2NiTe

- Which of these has the highest electronic total energy?
  Tl2NiTe